# 1
DFT (PBE) results for a geometry-optimized TbPm2Pr2 structure.

The structure in CIF format:
```
data_TbPm2Pr2
_cell_length_a 8.709
_cell_length_b 9.830
_cell_length_c 9.066
_cell_angle_alpha 90.00
_cell_angle_beta 112.51
_cell_angle_gamma 90.00
_symmetry_space_group_name_H-M 'C 1 2/c 1'
_symmetry_Int_Tables_number 15
_symmetry_space_group_name_Hall '-C 2yc'
loop_
_atom_site_label
_atom_site_type_symbol
_atom_site_fract_x
_atom_site_fract_y
_atom_site_fract_z
Tb1 Tb 0.000 0.201 0.250
Pm1 Pm 0.000 0.500 0.000
Pm2 Pm 0.250 0.250 0.000
Pr1 Pr 0.160 0.089 0.637
```

## Properties
As for the formation energy from the elements: 223 meV/atom. The polymorph energy (0 for the lowest one) is 210 meV per atom.

***

# 2
DFT (PBE) results for a geometry-optimized TbPmPr2 structure.

The structure in CIF format:
```
data_TbPmPr2
_cell_length_a 3.6650
_cell_length_b 3.6650
_cell_length_c 35.7064
_cell_angle_alpha 90.00
_cell_angle_beta 90.00
_cell_angle_gamma 120.00
_symmetry_space_group_name_H-M 'R -3 m'
_symmetry_Int_Tables_number 166
_symmetry_space_group_name_Hall '-R 3 2"'
loop_
_atom_site_label
_atom_site_type_symbol
_atom_site_fract_x
_atom_site_fract_y
_atom_site_fract_z
Tb1 Tb 0.0000 0.0000 0.0000
Pm1 Pm 0.0000 0.0000 0.5000
Pr1 Pr 0.0000 0.0000 0.2509
```

## Properties
As for the formation energy from the elements: 12 meV/atom. The polymorph energy (0 for the lowest one) is 0 meV per atom.

***

# 3
DFT (PBE) results for a geometry-optimized Tb2PmPr12 structure.

The structure in CIF format:
```
data_Tb2PmPr12
_cell_length_a 6.625
_cell_length_b 6.625
_cell_length_c 25.844
_cell_angle_alpha 90.00
_cell_angle_beta 90.00
_cell_angle_gamma 90.00
_symmetry_space_group_name_H-M 'P 4/n b m'
_symmetry_Int_Tables_number 125
loop_
_symmetry_equiv_pos_as_xyz
'x,y,z'
'-x,-y,-z'
'-y+1/2,x,z'
'y+1/2,-x,-z'
'-x+1/2,-y+1/2,z'
'x+1/2,y+1/2,-z'
'y,-x+1/2,z'
'-y,x+1/2,-z'
'x,-y+1/2,-z'
'-x,y+1/2,z'
'-y+1/2,-x+1/2,-z'
'y+1/2,x+1/2,z'
'-x+1/2,y,-z'
'x+1/2,-y,z'
'y,x,-z'
'-y,-x,z'
loop_
_atom_site_label
_atom_site_type_symbol
_atom_site_fract_x
_atom_site_fract_y
_atom_site_fract_z
Tb1 Tb 0.250 0.750 0.228
Pm1 Pm 0.250 0.750 0.500
Pr1 Pr 0.067 0.567 0.385
Pr2 Pr 0.082 0.582 0.062
Pr3 Pr 0.250 0.250 0.163
Pr4 Pr 0.250 0.250 0.284
```

## Properties
As for the formation energy from the elements: 306 meV/atom.

***

# 4
DFT (PBE) results for a geometry-optimized Tb5Pm3Pr4 structure.

The structure in CIF format:
```
data_Tb5Pm3Pr4
_cell_length_a 16.284
_cell_length_b 6.027
_cell_length_c 9.456
_cell_angle_alpha 90.00
_cell_angle_beta 116.21
_cell_angle_gamma 90.00
_symmetry_space_group_name_H-M 'C 1 2/m 1'
_symmetry_Int_Tables_number 12
_symmetry_space_group_name_Hall '-C 2y'
loop_
_atom_site_label
_atom_site_type_symbol
_atom_site_fract_x
_atom_site_fract_y
_atom_site_fract_z
Tb1 Tb 0.000 0.000 0.000
Tb2 Tb 0.072 0.500 0.698
Tb3 Tb 0.172 0.500 0.388
Pm1 Pm 0.000 0.500 0.000
Pm2 Pm 0.210 0.000 0.231
Pr1 Pr 0.084 0.000 0.444
Pr2 Pr 0.212 0.000 0.881
```

## Properties
As for the formation energy from the elements: 210 meV/atom. The polymorph energy (0 for the lowest one) is 196 meV per atom.

***

# 5
DFT (PBE) results for a geometry-optimized TbPm2Pr8 structure.

The structure in CIF format:
```
data_TbPm2Pr8
_cell_length_a 5.785
_cell_length_b 8.403
_cell_length_c 16.287
_cell_angle_alpha 90.00
_cell_angle_beta 90.00
_cell_angle_gamma 90.00
_symmetry_space_group_name_H-M 'I m m m'
_symmetry_Int_Tables_number 71
_symmetry_space_group_name_Hall '-I 2 2'
loop_
_atom_site_label
_atom_site_type_symbol
_atom_site_fract_x
_atom_site_fract_y
_atom_site_fract_z
Tb1 Tb 0.000 0.000 0.000
Pm1 Pm 0.000 0.000 0.299
Pr1 Pr 0.000 0.207 0.500
Pr2 Pr 0.000 0.295 0.136
Pr3 Pr 0.000 0.500 0.340
```

## Properties
As for the formation energy from the elements: 105 meV/atom. The polymorph energy (0 for the lowest one) is 0 meV per atom.

***

# 6
DFT (PBE) results for a geometry-optimized Tb7Pm2Pr2 structure.

The structure in CIF format:
```
data_Tb7Pm2Pr2
_cell_length_a 11.345
_cell_length_b 11.688
_cell_length_c 6.137
_cell_angle_alpha 90.00
_cell_angle_beta 113.62
_cell_angle_gamma 90.00
_symmetry_space_group_name_H-M 'C 1 2/m 1'
_symmetry_Int_Tables_number 12
_symmetry_space_group_name_Hall '-C 2y'
loop_
_atom_site_label
_atom_site_type_symbol
_atom_site_fract_x
_atom_site_fract_y
_atom_site_fract_z
Tb1 Tb 0.000 0.000 0.000
Tb2 Tb 0.173 0.239 0.176
Tb3 Tb 0.231 0.000 0.577
Pm1 Pm 0.000 0.213 0.500
Pr1 Pr 0.095 0.500 0.810
```

## Properties
As for the formation energy from the elements: 146 meV/atom. The polymorph energy (0 for the lowest one) is 0 meV per atom.

***

# 7
DFT (PBE) results for a geometry-optimized TbPm2Pr2 structure.

The structure in CIF format:
```
data_TbPm2Pr2
_cell_length_a 3.6589
_cell_length_b 3.6589
_cell_length_c 44.7520
_cell_angle_alpha 90.00
_cell_angle_beta 90.00
_cell_angle_gamma 120.00
_symmetry_space_group_name_H-M 'R -3 m'
_symmetry_Int_Tables_number 166
_symmetry_space_group_name_Hall '-R 3 2"'
loop_
_atom_site_label
_atom_site_type_symbol
_atom_site_fract_x
_atom_site_fract_y
_atom_site_fract_z
Tb1 Tb 0.0000 0.0000 0.0000
Pm1 Pm 0.0000 0.0000 0.3984
Pr1 Pr 0.0000 0.0000 0.2008
```

## Properties
As for the formation energy from the elements: 13 meV/atom. The polymorph energy (0 for the lowest one) is 0 meV per atom.

***

# 8
DFT (PBE) results for a geometry-optimized Tb3PmPr7 structure.

The structure in CIF format:
```
data_Tb3PmPr7
_cell_length_a 12.921
_cell_length_b 11.522
_cell_length_c 5.996
_cell_angle_alpha 90.00
_cell_angle_beta 117.58
_cell_angle_gamma 90.00
_symmetry_space_group_name_H-M 'C 1 2/m 1'
_symmetry_Int_Tables_number 12
_symmetry_space_group_name_Hall '-C 2y'
loop_
_atom_site_label
_atom_site_type_symbol
_atom_site_fract_x
_atom_site_fract_y
_atom_site_fract_z
Tb1 Tb 0.000 0.000 0.000
Tb2 Tb 0.000 0.203 0.500
Pm1 Pm 0.000 0.500 0.000
Pr1 Pr 0.000 0.500 0.500
Pr2 Pr 0.196 0.207 0.196
Pr3 Pr 0.209 0.000 0.709
```

## Properties
As for the formation energy from the elements: 212 meV/atom. The polymorph energy (0 for the lowest one) is 0 meV per atom.

***

# 9
DFT (PBE) results for a geometry-optimized Tb4Pm3Pr2 structure.

The structure in CIF format:
```
data_Tb4Pm3Pr2
_cell_length_a 6.273
_cell_length_b 6.282
_cell_length_c 8.111
_cell_angle_alpha 82.42
_cell_angle_beta 75.07
_cell_angle_gamma 80.51
_symmetry_space_group_name_H-M 'P -1'
_symmetry_Int_Tables_number 2
_symmetry_space_group_name_Hall '-P 1'
loop_
_atom_site_label
_atom_site_type_symbol
_atom_site_fract_x
_atom_site_fract_y
_atom_site_fract_z
Tb1 Tb 0.110 0.224 0.055
Tb2 Tb 0.222 0.446 0.611
Pm1 Pm 0.000 0.000 0.500
Pm2 Pm 0.443 0.890 0.722
Pr1 Pr 0.332 0.668 0.167
```

## Properties
As for the formation energy from the elements: 17 meV/atom. The polymorph energy (0 for the lowest one) is 0 meV per atom.

***

# 10
DFT (PBE) results for a geometry-optimized Tb3PmPr6 structure.

The structure in CIF format:
```
data_Tb3PmPr6
_cell_length_a 9.913
_cell_length_b 21.608
_cell_length_c 6.547
_cell_angle_alpha 90.00
_cell_angle_beta 90.00
_cell_angle_gamma 90.00
_symmetry_space_group_name_H-M 'C m c 21'
_symmetry_Int_Tables_number 36
_symmetry_space_group_name_Hall 'C 2c -2'
loop_
_atom_site_label
_atom_site_type_symbol
_atom_site_fract_x
_atom_site_fract_y
_atom_site_fract_z
Tb1 Tb 0.000 0.081 0.000
Tb2 Tb 0.167 0.373 0.606
Pm1 Pm 0.000 0.345 0.079
Pr1 Pr 0.000 0.201 0.289
Pr2 Pr 0.000 0.486 0.300
Pr3 Pr 0.174 0.218 0.768
Pr4 Pr 0.179 0.060 0.519
```

## Properties
As for the formation energy from the elements: 121 meV/atom. The polymorph energy (0 for the lowest one) is 0 meV per atom.

***

It is found that the density of states at the Fermi level values, taken in the order of the records, are 1.6534 1.2640 1.2269 1.6314 1.5454 1.6234 1.3152 1.4293 1.5186 1.5672 states/eV/atom.